[1]
## LiPtAu4 (PBE-GGA)

Data for a relaxed structure of LiPtAu4.

**Magnetic moment**: 0.00 μB/cell
**Uncorrected energy**: -22.36 eV for the cell shown
**SG**: No. 10
**ΔH_f (0 K)**: -216 meV per atom
**Fermi-level density of states**: 1.4 states/eV per cell

The structure in extended XYZ format:
```
6
Lattice="4.771 0.010 -0.002 -2.376 4.430 -0.700 -0.001 0.744 4.707" Properties=species:S:1:pos:R:3 pbc="T T T"
Au 2.387 1.419 -0.225
Au 0.005 1.820 2.124
Au 0.008 3.765 4.229
Au 2.390 3.364 1.880
Pt 2.385 0.377 2.352
Li 0.000 0.000 0.000
```


[2]
## V7W (PBE-GGA)

Data for a relaxed structure of V7W.

**Magnetic moment**: 0.00 μB/cell
**Uncorrected energy**: -153.84 eV for the cell shown
**SG**: No. 166
**ΔH_f (0 K)**: -17 meV per atom
**Fermi-level density of states**: 31.1 states/eV per cell

The structure in extended XYZ format:
```
16
Lattice="-2.194 -4.847 2.878 0.086 -3.146 -5.166 5.647 -1.791 1.222" Properties=species:S:1:pos:R:3 pbc="T T T"
W 4.660 -2.580 0.775
W -1.121 -7.204 -1.842
V 0.817 -5.654 -0.964
V 1.856 -1.687 0.169
V 2.722 -4.130 -0.102
V 3.573 -4.987 2.208
V 0.770 -4.093 1.602
V -0.034 -4.796 -3.274
V -0.081 -3.236 -0.708
V -1.168 -5.643 0.725
V 1.636 -6.537 1.331
V 1.903 -3.247 -2.397
V 4.707 -4.141 -1.792
V 3.620 -6.548 -0.359
V 2.769 -5.691 -2.669
V 1.683 -8.097 -1.236
```


[3]
## Ce7Ge2Os2 (PBE-GGA)

Data for a relaxed structure of Ce7Ge2Os2.

**Magnetic moment**: 0.54 μB/cell
**Uncorrected energy**: -76.02 eV for the cell shown
**SG**: No. 65
**ΔH_f (0 K)**: -253 meV per atom
**Fermi-level density of states**: 27.3 states/eV per cell

The structure in extended XYZ format:
```
11
Lattice="-5.852 -0.646 3.191 -3.082 -0.590 -5.772 2.384 -6.225 -0.636" Properties=species:S:1:pos:R:3 pbc="T T T"
Ce 0.000 0.000 0.000
Ce -5.521 -3.923 1.260
Ce -1.029 -3.538 -4.477
Ce -3.939 -3.857 -2.851
Ce -2.612 -3.604 -0.367
Ce -2.763 -6.973 -3.200
Ce -3.787 -0.488 -0.017
Os -6.579 -2.832 -3.676
Os 0.028 -4.629 0.458
Ge -2.088 -1.378 -2.483
Ge -4.462 -6.082 -0.735
```